CsRb12Ag5 | PBE-GGA | optimized geometry

a b c (Å): 11.321 11.321 11.321
angles (deg): 113.89 110.00 104.65
Element x y z (fractional)
Cs: 0.000 0.000 0.000
Rb: 0.108 0.304 0.804
Rb: 0.184 0.507 0.322
Rb: 0.184 0.862 0.678
Rb: 0.331 0.212 0.543
Rb: 0.331 0.788 0.119
Rb: 0.500 0.304 0.196
Rb: 0.500 0.696 0.804
Rb: 0.669 0.212 0.881
Rb: 0.669 0.788 0.457
Rb: 0.816 0.138 0.322
Rb: 0.816 0.493 0.678
Rb: 0.892 0.696 0.196
Ag: 0.112 0.500 0.612
Ag: 0.397 0.897 0.500
Ag: 0.500 0.500 0.000
Ag: 0.603 0.103 0.500
Ag: 0.888 0.500 0.388

Results
The space-group type is Immm, No. 71. The calculation puts the calculated total energy at -1.43 eV per atom. The mass density is 2.5 g/cm3. As for the energy relative to the elements: 0.058 eV/atom.

Cs12Rb3Ag5 | PBE-GGA | optimized geometry

a b c (Å): 21.232 21.232 21.232
angles (deg): 109.47 109.47 109.47
Element x y z (fractional)
Cs: 0.012 0.193 0.101
Cs: 0.012 0.319 0.911
Cs: 0.089 0.601 0.408
Cs: 0.089 0.988 0.681
Cs: 0.092 0.693 0.681
Cs: 0.092 0.899 0.411
Cs: 0.101 0.012 0.193
Cs: 0.101 0.589 0.908
Cs: 0.181 0.193 0.592
Cs: 0.181 0.488 0.589
Cs: 0.193 0.101 0.012
Cs: 0.193 0.592 0.181
Cs: 0.307 0.319 0.908
Cs: 0.307 0.488 0.399
Cs: 0.319 0.908 0.307
Cs: 0.319 0.911 0.012
Cs: 0.399 0.307 0.488
Cs: 0.399 0.592 0.911
Cs: 0.408 0.089 0.601
Cs: 0.408 0.819 0.807
Cs: 0.411 0.092 0.899
Cs: 0.411 0.819 0.512
Cs: 0.488 0.399 0.307
Cs: 0.488 0.589 0.181
Cs: 0.512 0.411 0.819
Cs: 0.512 0.601 0.693
Cs: 0.589 0.181 0.488
Cs: 0.589 0.908 0.101
Cs: 0.592 0.181 0.193
Cs: 0.592 0.911 0.399
Cs: 0.601 0.408 0.089
Cs: 0.601 0.693 0.512
Cs: 0.681 0.089 0.988
Cs: 0.681 0.092 0.693
Cs: 0.693 0.512 0.601
Cs: 0.693 0.681 0.092
Cs: 0.807 0.408 0.819
Cs: 0.807 0.899 0.988
Cs: 0.819 0.512 0.411
Cs: 0.819 0.807 0.408
Cs: 0.899 0.411 0.092
Cs: 0.899 0.988 0.807
Cs: 0.908 0.101 0.589
Cs: 0.908 0.307 0.319
Cs: 0.911 0.012 0.319
Cs: 0.911 0.399 0.592
Cs: 0.988 0.681 0.089
Cs: 0.988 0.807 0.899
Rb: 0.125 0.250 0.375
Rb: 0.125 0.375 0.750
Rb: 0.250 0.375 0.125
Rb: 0.250 0.875 0.625
Rb: 0.375 0.125 0.250
Rb: 0.375 0.750 0.125
Rb: 0.625 0.250 0.875
Rb: 0.625 0.875 0.750
Rb: 0.750 0.125 0.375
Rb: 0.750 0.625 0.875
Rb: 0.875 0.625 0.250
Rb: 0.875 0.750 0.625
Ag: 0.000 0.000 0.000
Ag: 0.000 0.000 0.500
Ag: 0.000 0.500 0.000
Ag: 0.000 0.500 0.500
Ag: 0.125 0.750 0.875
Ag: 0.125 0.875 0.250
Ag: 0.250 0.125 0.875
Ag: 0.250 0.625 0.375
Ag: 0.375 0.250 0.625
Ag: 0.375 0.625 0.750
Ag: 0.500 0.000 0.000
Ag: 0.500 0.000 0.500
Ag: 0.500 0.500 0.000
Ag: 0.500 0.500 0.500
Ag: 0.625 0.375 0.250
Ag: 0.625 0.750 0.375
Ag: 0.750 0.375 0.625
Ag: 0.750 0.875 0.125
Ag: 0.875 0.125 0.750
Ag: 0.875 0.250 0.125

Results
The space-group type is Ia-3d, No. 230. The calculation puts the calculated total energy at -1.25 eV per atom. The mass density is 2.2 g/cm3. As for the energy relative to the elements: 0.121 eV/atom.

Cs3Rb12Ag5 | PBE-GGA | optimized geometry

a b c (Å): 20.512 20.512 20.512
angles (deg): 109.47 109.47 109.47
Element x y z (fractional)
Cs: 0.125 0.250 0.375
Cs: 0.125 0.375 0.750
Cs: 0.250 0.375 0.125
Cs: 0.250 0.875 0.625
Cs: 0.375 0.125 0.250
Cs: 0.375 0.750 0.125
Cs: 0.625 0.250 0.875
Cs: 0.625 0.875 0.750
Cs: 0.750 0.125 0.375
Cs: 0.750 0.625 0.875
Cs: 0.875 0.625 0.250
Cs: 0.875 0.750 0.625
Rb: 0.000 0.185 0.086
Rb: 0.000 0.315 0.914
Rb: 0.000 0.685 0.086
Rb: 0.000 0.815 0.914
Rb: 0.086 0.000 0.185
Rb: 0.086 0.000 0.685
Rb: 0.086 0.586 0.401
Rb: 0.086 0.586 0.901
Rb: 0.099 0.685 0.685
Rb: 0.099 0.914 0.414
Rb: 0.185 0.086 0.000
Rb: 0.185 0.185 0.599
Rb: 0.185 0.500 0.586
Rb: 0.185 0.599 0.185
Rb: 0.315 0.315 0.901
Rb: 0.315 0.500 0.414
Rb: 0.315 0.901 0.315
Rb: 0.315 0.914 0.000
Rb: 0.401 0.086 0.586
Rb: 0.401 0.815 0.815
Rb: 0.414 0.099 0.914
Rb: 0.414 0.315 0.500
Rb: 0.414 0.599 0.914
Rb: 0.414 0.815 0.500
Rb: 0.500 0.414 0.315
Rb: 0.500 0.414 0.815
Rb: 0.500 0.586 0.185
Rb: 0.500 0.586 0.685
Rb: 0.586 0.185 0.500
Rb: 0.586 0.401 0.086
Rb: 0.586 0.685 0.500
Rb: 0.586 0.901 0.086
Rb: 0.599 0.185 0.185
Rb: 0.599 0.914 0.414
Rb: 0.685 0.086 0.000
Rb: 0.685 0.099 0.685
Rb: 0.685 0.500 0.586
Rb: 0.685 0.685 0.099
Rb: 0.815 0.401 0.815
Rb: 0.815 0.500 0.414
Rb: 0.815 0.815 0.401
Rb: 0.815 0.914 0.000
Rb: 0.901 0.086 0.586
Rb: 0.901 0.315 0.315
Rb: 0.914 0.000 0.315
Rb: 0.914 0.000 0.815
Rb: 0.914 0.414 0.099
Rb: 0.914 0.414 0.599
Ag: 0.000 0.000 0.000
Ag: 0.000 0.000 0.500
Ag: 0.000 0.500 0.000
Ag: 0.000 0.500 0.500
Ag: 0.125 0.750 0.875
Ag: 0.125 0.875 0.250
Ag: 0.250 0.125 0.875
Ag: 0.250 0.625 0.375
Ag: 0.375 0.250 0.625
Ag: 0.375 0.625 0.750
Ag: 0.500 0.000 0.000
Ag: 0.500 0.000 0.500
Ag: 0.500 0.500 0.000
Ag: 0.500 0.500 0.500
Ag: 0.625 0.375 0.250
Ag: 0.625 0.750 0.375
Ag: 0.750 0.375 0.625
Ag: 0.750 0.875 0.125
Ag: 0.875 0.125 0.750
Ag: 0.875 0.250 0.125

Results
The space-group type is Ia-3d, No. 230. The calculation puts the calculated total energy at -1.26 eV per atom. The mass density is 2.0 g/cm3. As for the energy relative to the elements: 0.159 eV/atom.

Cs8Rb2Ag | PBE-GGA | optimized geometry

a b c (Å): 11.022 11.022 10.237
angles (deg): 100.99 100.99 74.33
Element x y z (fractional)
Cs: 0.056 0.679 0.284
Cs: 0.116 0.116 0.227
Cs: 0.321 0.944 0.716
Cs: 0.379 0.379 0.593
Cs: 0.621 0.621 0.407
Cs: 0.679 0.056 0.284
Cs: 0.884 0.884 0.773
Cs: 0.944 0.321 0.716
Rb: 0.366 0.366 0.047
Rb: 0.634 0.634 0.953
Ag: 0.000 0.000 0.500

Results
The space-group type is C2/m, No. 12. The calculation puts the calculated total energy at -1.01 eV per atom. The mass density is 1.9 g/cm3. As for the energy relative to the elements: 0.050 eV/atom.

CsRbAg2 | PBE-GGA | optimized geometry

a b c (Å): 5.111 7.063 9.739
angles (deg): 90.00 90.00 90.00
Element x y z (fractional)
Cs: 0.000 0.138 0.000
Cs: 0.000 0.862 0.500
Rb: 0.500 0.364 0.643
Rb: 0.500 0.636 0.143
Ag: 0.000 0.344 0.351
Ag: 0.000 0.656 0.851
Ag: 0.500 0.172 0.299
Ag: 0.500 0.828 0.799

Results
The space-group type is Pmc2_1, No. 26. The calculation puts the calculated total energy at -1.84 eV per atom. The mass density is 4.1 g/cm3. As for the energy relative to the elements: 0.037 eV/atom. The polymorph energy (0 for the lowest one) comes out at 0 meV/atom.

Cs3RbAg | PBE-GGA | optimized geometry

a b c (Å): 12.502 5.267 13.591
angles (deg): 90.00 112.96 90.00
Element x y z (fractional)
Cs: 0.040 0.250 0.191
Cs: 0.256 0.750 0.544
Cs: 0.391 0.750 0.246
Cs: 0.609 0.250 0.754
Cs: 0.744 0.250 0.456
Cs: 0.960 0.750 0.809
Rb: 0.319 0.250 0.908
Rb: 0.681 0.750 0.092
Ag: 0.446 0.250 0.466
Ag: 0.554 0.750 0.534

Results
The space-group type is P2_1/m, No. 11. The calculation puts the calculated total energy at -1.25 eV per atom. The mass density is 2.4 g/cm3. As for the energy relative to the elements: 0.024 eV/atom. The polymorph energy (0 for the lowest one) comes out at 0 meV/atom.

Cs4Rb5Ag | PBE-GGA | optimized geometry

a b c (Å): 11.692 11.692 11.692
angles (deg): 95.66 95.66 143.41
Element x y z (fractional)
Cs: 0.000 0.322 0.322
Cs: 0.000 0.678 0.678
Cs: 0.322 0.000 0.322
Cs: 0.678 0.000 0.678
Rb: 0.000 0.000 0.000
Rb: 0.337 0.337 0.675
Rb: 0.337 0.663 0.000
Rb: 0.663 0.337 0.000
Rb: 0.663 0.663 0.325
Ag: 0.500 0.500 0.000

Results
The space-group type is I4/mmm, No. 139. The calculation puts the calculated total energy at -1.08 eV per atom. The mass density is 2.0 g/cm3. As for the energy relative to the elements: 0.030 eV/atom.

CsRbAg2 | PBE-GGA | optimized geometry

a b c (Å): 9.143 9.143 9.143
angles (deg): 33.93 33.93 33.93
Element x y z (fractional)
Cs: 0.000 0.000 0.000
Rb: 0.500 0.500 0.500
Ag: 0.245 0.245 0.245
Ag: 0.755 0.755 0.755

Results
The space-group type is R-3m, No. 166. The calculation puts the calculated total energy at -1.76 eV per atom. The mass density is 3.4 g/cm3. As for the energy relative to the elements: 0.121 eV/atom. The polymorph energy (0 for the lowest one) comes out at 84 meV/atom.

Cs12Rb7Ag | PBE-GGA | optimized geometry

a b c (Å): 14.007 14.007 14.007
angles (deg): 110.86 110.86 110.86
Element x y z (fractional)
Cs: 0.025 0.288 0.180
Cs: 0.180 0.025 0.288
Cs: 0.239 0.608 0.665
Cs: 0.288 0.180 0.025
Cs: 0.335 0.761 0.392
Cs: 0.392 0.335 0.761
Cs: 0.608 0.665 0.239
Cs: 0.665 0.239 0.608
Cs: 0.712 0.820 0.975
Cs: 0.761 0.392 0.335
Cs: 0.820 0.975 0.712
Cs: 0.975 0.712 0.820
Rb: 0.076 0.866 0.547
Rb: 0.134 0.453 0.924
Rb: 0.453 0.924 0.134
Rb: 0.500 0.500 0.500
Rb: 0.547 0.076 0.866
Rb: 0.866 0.547 0.076
Rb: 0.924 0.134 0.453
Ag: 0.000 0.000 0.000

Results
The space-group type is R-3, No. 148. The calculation puts the calculated total energy at -0.99 eV per atom. The mass density is 1.9 g/cm3. As for the energy relative to the elements: 0.007 eV/atom.

Cs5RbAg2 | PBE-GGA | optimized geometry

a b c (Å): 12.229 12.229 12.229
angles (deg): 153.75 131.37 56.10
Element x y z (fractional)
Cs: 0.000 0.000 0.000
Cs: 0.090 0.337 0.753
Cs: 0.416 0.663 0.753
Cs: 0.584 0.337 0.247
Cs: 0.910 0.663 0.247
Rb: 0.500 0.000 0.500
Ag: 0.193 0.193 0.000
Ag: 0.807 0.807 0.000

Results
The space-group type is Immm, No. 71. The calculation puts the calculated total energy at -1.33 eV per atom. The mass density is 2.7 g/cm3. As for the energy relative to the elements: 0.039 eV/atom.

Cs6Rb10Ag | PBE-GGA | optimized geometry

a b c (Å): 14.157 14.157 9.267
angles (deg): 90.00 90.00 120.00
Element x y z (fractional)
Cs: 0.000 0.399 0.247
Cs: 0.000 0.601 0.753
Cs: 0.399 0.000 0.247
Cs: 0.399 0.399 0.753
Cs: 0.601 0.000 0.753
Cs: 0.601 0.601 0.247
Rb: 0.000 0.211 0.739
Rb: 0.000 0.789 0.261
Rb: 0.211 0.000 0.739
Rb: 0.211 0.211 0.261
Rb: 0.333 0.667 0.000
Rb: 0.333 0.667 0.500
Rb: 0.667 0.333 0.000
Rb: 0.667 0.333 0.500
Rb: 0.789 0.000 0.261
Rb: 0.789 0.789 0.739
Ag: 0.000 0.000 0.500

Results
The space-group type is P-31m, No. 162. The calculation puts the calculated total energy at -0.99 eV per atom. The mass density is 1.8 g/cm3. As for the energy relative to the elements: 0.045 eV/atom.

Cs6RbAg2 | PBE-GGA | optimized geometry

a b c (Å): 12.213 12.213 12.213
angles (deg): 111.37 109.65 107.41
Element x y z (fractional)
Cs: 0.017 0.236 0.781
Cs: 0.172 0.483 0.311
Cs: 0.172 0.861 0.689
Cs: 0.325 0.314 0.639
Cs: 0.325 0.686 0.011
Cs: 0.456 0.236 0.219
Cs: 0.544 0.764 0.781
Cs: 0.675 0.314 0.989
Cs: 0.675 0.686 0.361
Cs: 0.828 0.139 0.311
Cs: 0.828 0.517 0.689
Cs: 0.983 0.764 0.219
Rb: 0.000 0.000 0.000
Rb: 0.500 0.000 0.500
Ag: 0.104 0.500 0.604
Ag: 0.399 0.399 0.000
Ag: 0.601 0.601 0.000
Ag: 0.896 0.500 0.396

Results
The space-group type is Immm, No. 71. The calculation puts the calculated total energy at -1.28 eV per atom. The mass density is 2.6 g/cm3. As for the energy relative to the elements: 0.030 eV/atom.